The following is a DFT calculation (PBE) of a relaxed ThIn2P2Pt7 crystal.

Values from the calculation:
Formation energy from the elements: -0.62 eV per atom
Fermi-level density of states: 0.40 states/eV/atom
Symmetry: C2/m, No. 12
Spin magnetization: 0.0 μB per cell

a b c (Å): 4.003 4.003 15.451
angles (deg): 82.38 82.38 90.00
Element x y z (fractional)
In  0.214  0.214  0.575
In  0.786  0.786  0.425
P  0.379  0.379  0.240
Pt  0.500  0.500  0.000
Pt  0.922  0.422  0.153
Pt  0.078  0.578  0.847
Pt  0.305  0.305  0.389
Pt  0.695  0.695  0.611
Pt  0.578  0.078  0.847
Th  0.000  0.000  0.000
Pt  0.422  0.922  0.153
P  0.621  0.621  0.760